Model i:
Here is FeCoIr at its PBEsol-relaxed geometry from Alexandria via LeMat-Bulk. Energies are from meta-GGA SCAN.

Properties
Fermi-level density of states	2.32	states/eV per cell
crystal system	orthorhombic
magnetization	1.85	μB per atom

Cell and atoms, written as POSCAR:
```
FeCoIr
1.0
2.583 0.009 0.000
-1.117 2.329 0.000
-0.733 -1.169 6.202
Co Ir Fe
1 1 1
direct
0.008 0.008 0.016
0.332 0.332 0.665
0.660 0.660 0.320
```

Model ii:
Here is FeCoIr at its PBEsol-relaxed geometry from Alexandria via LeMat-Bulk. Energies are from meta-GGA SCAN.

Properties
Fermi-level density of states	3.72	states/eV per cell
crystal system	trigonal
magnetization	1.72	μB per atom

Cell and atoms, written as POSCAR:
```
FeCoIr
1.0
2.612 0.000 0.000
-1.306 2.262 0.000
0.000 0.000 6.122
Fe Co Ir
1 1 1
direct
0.333 0.667 0.677
0.000 0.000 0.988
0.667 0.333 0.334
```

Quick look at relative energies in kJ/mol of atoms: model i 0.6; model ii 0.0.

Model i:
Here is KFe2Co at its PBEsol-relaxed geometry from Alexandria via LeMat-Bulk. Energies are from meta-GGA SCAN.

Properties
Fermi-level density of states	2.62	states/eV per cell
crystal system	tetragonal
magnetization	1.94	μB per atom

Cell and atoms, written as POSCAR:
```
KFe2Co
1.0
3.036 0.000 0.000
0.000 3.036 0.000
0.000 0.000 7.577
Co K Fe
1 1 2
direct
0.500 0.500 0.500
0.500 0.500 0.000
0.000 0.000 0.354
0.000 0.000 0.646
```

Model ii:
Here is KFe2Co at its PBEsol-relaxed geometry from Alexandria via LeMat-Bulk. Energies are from meta-GGA SCAN.

Properties
Fermi-level density of states	2.25	states/eV per cell
crystal system	orthorhombic
magnetization	1.81	μB per atom

Cell and atoms, written as POSCAR:
```
KFe2Co
1.0
-2.372 0.464 -0.651
-0.128 -4.398 -2.668
-1.386 -0.131 4.954
K Co Fe
1 1 2
direct
0.500 0.000 0.000
0.500 0.500 0.500
0.000 0.000 0.500
0.000 0.500 0.000
```

Quick look at relative energies in kJ/mol of atoms: model i 0.0; model ii 58.6.

Model i:
Here is K2FeCo at its PBEsol-relaxed geometry from Alexandria via LeMat-Bulk. Energies are from meta-GGA SCAN.

Properties
Fermi-level density of states	3.94	states/eV per cell
crystal system	orthorhombic
magnetization	1.06	μB per atom

Cell and atoms, written as POSCAR:
```
K2FeCo
1.0
2.753 -0.218 0.000
-0.578 2.700 0.000
0.000 0.000 10.938
Fe Co K
1 1 2
direct
0.500 0.500 0.500
0.500 0.500 0.000
0.000 0.000 0.759
0.000 0.000 0.241
```

Model ii:
Here is K2FeCo at its PBEsol-relaxed geometry from Alexandria via LeMat-Bulk. Energies are from meta-GGA SCAN.

Properties
Fermi-level density of states	3.79	states/eV per cell
crystal system	tetragonal
magnetization	1.04	μB per atom

Cell and atoms, written as POSCAR:
```
K2FeCo
1.0
-1.341 0.574 -3.629
-1.112 -3.745 -0.182
-4.792 1.326 1.981
Co K Fe
1 2 1
direct
0.500 0.500 0.500
0.500 0.000 0.000
0.000 0.500 0.000
0.000 0.000 0.500
```

Quick look at relative energies in kJ/mol of atoms: model i 0.0; model ii 1.4.

Model i:
Here is LiFeCo2 at its PBEsol-relaxed geometry from Alexandria via LeMat-Bulk. Energies are from meta-GGA SCAN.

Properties
Fermi-level density of states	2.40	states/eV per cell
crystal system	tetragonal
magnetization	1.49	μB per atom

Cell and atoms, written as POSCAR:
```
LiFeCo2
1.0
-1.406 0.168 -2.283
-2.566 -2.671 1.384
-2.183 2.905 1.558
Fe Co Li
1 2 1
direct
0.500 0.500 0.500
0.000 0.000 0.500
0.000 0.500 0.000
0.500 0.000 0.000
```

Model ii:
Here is LiFeCo2 at its PBEsol-relaxed geometry from Alexandria via LeMat-Bulk. Energies are from meta-GGA SCAN.

Properties
Fermi-level density of states	2.87	states/eV per cell
crystal system	orthorhombic
magnetization	1.58	μB per atom

Cell and atoms, written as POSCAR:
```
LiFeCo2
1.0
2.711 0.000 0.000
0.000 3.933 0.000
0.000 0.000 3.986
Co Li Fe
2 1 1
direct
0.000 0.000 0.000
0.500 0.000 0.500
0.000 0.500 0.500
0.500 0.500 0.000
```

Quick look at relative energies in kJ/mol of atoms: model i 0.0; model ii 1.4.